[1]
DFT (PBE) results for a relaxed structure of Sr4ReTc.

Output
**E**: -3.09 eV/atom
**Energy of formation from the pure elements**: 11.02 eV per formula unit

The structure in CIF format:
```
data_Sr4ReTc
_symmetry_space_group_name_H-M 'F -4 3 m'
_symmetry_Int_Tables_number 216
_symmetry_space_group_name_Hall 'F -4 2 3'
_cell_length_a 9.118
_cell_length_b 9.118
_cell_length_c 9.118
_cell_angle_alpha 90.00
_cell_angle_beta 90.00
_cell_angle_gamma 90.00
loop_
_atom_site_label
_atom_site_fract_x
_atom_site_fract_y
_atom_site_fract_z
_atom_site_occupancy
Sr1 0.125 0.125 0.125 1
Re1 0.000 0.000 0.500 1
Tc1 0.250 0.250 0.750 1
```

***

[2]
DFT (PBE) results for a relaxed structure of La2MgHg.

Output
**Relative energy among the computed polymorphs**: 24 meV/atom
**E**: -3.22 eV/atom
**Energy of formation from the pure elements**: -1.15 eV per formula unit

The structure in CIF format:
```
data_La2MgHg
_symmetry_space_group_name_H-M 'F m -3 m'
_symmetry_Int_Tables_number 225
_symmetry_space_group_name_Hall '-F 4 2 3'
_cell_length_a 7.859
_cell_length_b 7.859
_cell_length_c 7.859
_cell_angle_alpha 90.00
_cell_angle_beta 90.00
_cell_angle_gamma 90.00
loop_
_atom_site_label
_atom_site_fract_x
_atom_site_fract_y
_atom_site_fract_z
_atom_site_occupancy
La1 0.250 0.250 0.250 1
Mg1 0.000 0.000 0.000 1
Hg1 0.000 0.000 0.500 1
```

***

[3]
DFT (PBE) results for a relaxed structure of Al2InH2.

Output
**Relative energy among the computed polymorphs**: 683 meV/atom
**E**: -2.46 eV/atom

The structure in CIF format:
```
data_Al2InH2
_symmetry_space_group_name_H-M 'P 4/m m m'
_symmetry_Int_Tables_number 123
_symmetry_space_group_name_Hall '-P 4 2'
_cell_length_a 5.411
_cell_length_b 5.411
_cell_length_c 3.570
_cell_angle_alpha 90.00
_cell_angle_beta 90.00
_cell_angle_gamma 90.00
loop_
_atom_site_label
_atom_site_fract_x
_atom_site_fract_y
_atom_site_fract_z
_atom_site_occupancy
Al1 0.000 0.500 0.000 1
In1 0.000 0.000 0.000 1
H1 0.000 0.000 0.500 1
H2 0.500 0.500 0.500 1
```

***

[4]
DFT (PBE) results for a relaxed structure of BC2.

Output
**Relative energy among the computed polymorphs**: 112 meV/atom
**E**: -8.02 eV/atom
**Energy of formation from the pure elements**: 1.05 eV per formula unit

The structure in CIF format:
```
data_BC2
_symmetry_space_group_name_H-M 'P 1 m 1'
_symmetry_Int_Tables_number 6
_cell_length_a 4.678
_cell_length_b 2.559
_cell_length_c 6.403
_cell_angle_alpha 90.00
_cell_angle_beta 90.92
_cell_angle_gamma 90.00
loop_
_symmetry_equiv_pos_as_xyz
'x,y,z'
'x,-y,z'
loop_
_atom_site_label
_atom_site_fract_x
_atom_site_fract_y
_atom_site_fract_z
_atom_site_occupancy
B1 0.000 0.000 0.000 1
B2 0.052 0.000 0.691 1
B3 0.150 0.500 0.284 1
B4 0.821 0.500 0.613 1
C1 0.184 0.500 0.019 1
C2 0.355 0.000 0.381 1
C3 0.368 0.000 0.622 1
C4 0.503 0.500 0.955 1
C5 0.514 0.500 0.712 1
C6 0.656 0.000 0.286 1
C7 0.658 0.000 0.041 1
C8 0.821 0.500 0.363 1
```

***

[5]
DFT (PBE) results for a relaxed structure of Sc2CrAs.

Output
**E**: -7.25 eV/atom
**Energy of formation from the pure elements**: -2.05 eV per formula unit

The structure in CIF format:
```
data_Sc2CrAs
_symmetry_space_group_name_H-M 'A m m 2'
_symmetry_Int_Tables_number 38
_cell_length_a 4.020
_cell_length_b 3.675
_cell_length_c 10.370
_cell_angle_alpha 90.00
_cell_angle_beta 90.00
_cell_angle_gamma 90.00
loop_
_symmetry_equiv_pos_as_xyz
'x,y,z'
'-x,-y,z'
'-x,y,z'
'x,-y,z'
'x,y+1/2,z+1/2'
'-x,-y+1/2,z+1/2'
'-x,y+1/2,z+1/2'
'x,-y+1/2,z+1/2'
loop_
_atom_site_label
_atom_site_fract_x
_atom_site_fract_y
_atom_site_fract_z
_atom_site_occupancy
Sc1 0.000 0.000 0.000 1
Sc2 0.500 0.000 0.289 1
Cr1 0.000 0.000 0.723 1
As1 0.500 0.000 0.569 1
```

***

[6]
DFT (PBE) results for a relaxed structure of Rb5Ba3Hg12.

Output
**E**: -0.92 eV/atom
**Energy of formation from the pure elements**: -4.13 eV per formula unit

The structure in CIF format:
```
data_Rb5Ba3Hg12
_symmetry_space_group_name_H-M 'I a -3 d'
_symmetry_Int_Tables_number 230
_symmetry_space_group_name_Hall '-I 4bd 2c 3'
_cell_length_a 20.516
_cell_length_b 20.516
_cell_length_c 20.516
_cell_angle_alpha 90.00
_cell_angle_beta 90.00
_cell_angle_gamma 90.00
loop_
_atom_site_label
_atom_site_fract_x
_atom_site_fract_y
_atom_site_fract_z
_atom_site_occupancy
Rb1 0.000 0.000 0.000 1
Rb2 0.000 0.250 0.375 1
Ba1 0.000 0.250 0.125 1
Hg1 0.015 0.082 0.150 1
```

***

[7]
DFT (PBE) results for a relaxed structure of TaRuN.

Output
**Relative energy among the computed polymorphs**: 116 meV/atom
**E**: -10.24 eV/atom
**Formation energy without anion corrections**: -0.423 eV per atom

The structure in CIF format:
```
data_TaRuN
_symmetry_space_group_name_H-M 'C m c 21'
_symmetry_Int_Tables_number 36
_cell_length_a 2.867
_cell_length_b 10.700
_cell_length_c 4.953
_cell_angle_alpha 90.00
_cell_angle_beta 90.00
_cell_angle_gamma 90.00
loop_
_symmetry_equiv_pos_as_xyz
'x,y,z'
'-x,-y,z+1/2'
'-x,y,z'
'x,-y,z+1/2'
'x+1/2,y+1/2,z'
'-x+1/2,-y+1/2,z+1/2'
'-x+1/2,y+1/2,z'
'x+1/2,-y+1/2,z+1/2'
loop_
_atom_site_label
_atom_site_fract_x
_atom_site_fract_y
_atom_site_fract_z
_atom_site_occupancy
Ta1 0.000 0.076 0.000 1
Ru1 0.000 0.209 0.466 1
N1 0.000 0.454 0.809 1
```

***

[8]
DFT (PBE) results for a relaxed structure of CsMg3Sc.

Output
**E**: -0.96 eV/atom
**Energy of formation from the pure elements**: 7.15 eV per formula unit

The structure in CIF format:
```
data_CsMg3Sc
_symmetry_space_group_name_H-M 'P m -3 m'
_symmetry_Int_Tables_number 221
_symmetry_space_group_name_Hall '-P 4 2 3'
_cell_length_a 5.928
_cell_length_b 5.928
_cell_length_c 5.928
_cell_angle_alpha 90.00
_cell_angle_beta 90.00
_cell_angle_gamma 90.00
loop_
_atom_site_label
_atom_site_fract_x
_atom_site_fract_y
_atom_site_fract_z
_atom_site_occupancy
Cs1 0.000 0.000 0.000 1
Mg1 0.000 0.000 0.500 1
Sc1 0.500 0.500 0.500 1
```

***

[9]
DFT (PBE) results for a relaxed structure of TbPrTmCu.

Output
**E**: -4.60 eV/atom
**Energy of formation from the pure elements**: -0.43 eV per formula unit

The structure in CIF format:
```
data_TbPrTmCu
_symmetry_space_group_name_H-M 'P 4 m m'
_symmetry_Int_Tables_number 99
_cell_length_a 3.521
_cell_length_b 3.521
_cell_length_c 8.718
_cell_angle_alpha 90.00
_cell_angle_beta 90.00
_cell_angle_gamma 90.00
loop_
_symmetry_equiv_pos_as_xyz
'x,y,z'
'-y,x,z'
'-x,-y,z'
'y,-x,z'
'-x,y,z'
'y,x,z'
'x,-y,z'
'-y,-x,z'
loop_
_atom_site_label
_atom_site_fract_x
_atom_site_fract_y
_atom_site_fract_z
_atom_site_occupancy
Tb1 0.000 0.000 0.000 1
Pr1 0.500 0.500 0.312 1
Tm1 0.000 0.000 0.619 1
Cu1 0.500 0.500 0.801 1
```

***

[10]
DFT (PBE) results for a relaxed structure of ZrRuW4.

Output
**E**: -11.34 eV/atom
**Energy of formation from the pure elements**: 1.57 eV per formula unit

The structure in CIF format:
```
data_ZrRuW4
_symmetry_space_group_name_H-M 'F -4 3 m'
_symmetry_Int_Tables_number 216
_symmetry_space_group_name_Hall 'F -4 2 3'
_cell_length_a 7.498
_cell_length_b 7.498
_cell_length_c 7.498
_cell_angle_alpha 90.00
_cell_angle_beta 90.00
_cell_angle_gamma 90.00
loop_
_atom_site_label
_atom_site_fract_x
_atom_site_fract_y
_atom_site_fract_z
_atom_site_occupancy
Zr1 0.000 0.000 0.000 1
Ru1 0.250 0.250 0.750 1
W1 0.126 0.126 0.374 1
```

***

[11]
DFT (PBE) results for a relaxed structure of Co6Ni23N.

Output
**E**: -5.87 eV/atom
**Formation energy without anion corrections**: 0.258 eV per atom

The structure in CIF format:
```
data_Co6Ni23N
_symmetry_space_group_name_H-M 'F m -3 m'
_symmetry_Int_Tables_number 225
_symmetry_space_group_name_Hall '-F 4 2 3'
_cell_length_a 11.051
_cell_length_b 11.051
_cell_length_c 11.051
_cell_angle_alpha 90.00
_cell_angle_beta 90.00
_cell_angle_gamma 90.00
loop_
_atom_site_label
_atom_site_fract_x
_atom_site_fract_y
_atom_site_fract_z
_atom_site_occupancy
Co1 0.000 0.000 0.179 1
Ni1 0.000 0.000 0.500 1
Ni2 0.000 0.250 0.250 1
Ni3 0.119 0.119 0.381 1
Ni4 0.167 0.167 0.167 1
N1 0.000 0.000 0.000 1
```

***

[12]
DFT (PBE) results for a relaxed structure of Ac8LaPm5.

Output
**E**: -4.17 eV/atom
**Energy of formation from the pure elements**: 3.14 eV per formula unit

The structure in CIF format:
```
data_Ac8LaPm5
_symmetry_space_group_name_H-M 'C 1 2 1'
_symmetry_Int_Tables_number 5
_cell_length_a 14.392
_cell_length_b 11.020
_cell_length_c 10.216
_cell_angle_alpha 90.00
_cell_angle_beta 134.11
_cell_angle_gamma 90.00
loop_
_symmetry_equiv_pos_as_xyz
'x,y,z'
'-x,y,-z'
'x+1/2,y+1/2,z'
'-x+1/2,y+1/2,-z'
loop_
_atom_site_label
_atom_site_fract_x
_atom_site_fract_y
_atom_site_fract_z
_atom_site_occupancy
Ac1 0.071 0.000 0.244 1
Ac2 0.087 0.655 0.403 1
Ac3 0.177 0.303 0.107 1
Ac4 0.185 0.149 0.765 1
La1 0.000 0.647 0.000 1
Pm1 0.000 0.904 0.500 1
Pm2 0.100 0.331 0.402 1
Pm3 0.201 0.476 0.806 1
```

***

[13]
DFT (PBE) results for a relaxed structure of Y2Cd.

Output
**E**: -4.75 eV/atom
**Energy of formation from the pure elements**: -0.42 eV per formula unit

The structure in CIF format:
```
data_Y2Cd
_symmetry_space_group_name_H-M 'P -6 2 m'
_symmetry_Int_Tables_number 189
_symmetry_space_group_name_Hall 'P -6 -2'
_cell_length_a 7.9729
_cell_length_b 7.9729
_cell_length_c 4.8137
_cell_angle_alpha 90.00
_cell_angle_beta 90.00
_cell_angle_gamma 120.00
loop_
_atom_site_label
_atom_site_fract_x
_atom_site_fract_y
_atom_site_fract_z
_atom_site_occupancy
Y1 0.0000 0.2561 0.0000 1
Y2 0.0000 0.5890 0.5000 1
Cd1 0.0000 0.0000 0.5000 1
Cd2 0.3333 0.6667 0.0000 1
```

***

[14]
DFT (PBE) results for a relaxed structure of LiLa4Mg5.

Output
**E**: -3.04 eV/atom
**Energy of formation from the pure elements**: -0.80 eV per formula unit

The structure in CIF format:
```
data_LiLa4Mg5
_symmetry_space_group_name_H-M 'P 4/m m m'
_symmetry_Int_Tables_number 123
_symmetry_space_group_name_Hall '-P 4 2'
_cell_length_a 3.892
_cell_length_b 3.892
_cell_length_c 19.502
_cell_angle_alpha 90.00
_cell_angle_beta 90.00
_cell_angle_gamma 90.00
loop_
_atom_site_label
_atom_site_fract_x
_atom_site_fract_y
_atom_site_fract_z
_atom_site_occupancy
Li1 0.000 0.000 0.000 1
La1 0.000 0.000 0.192 1
La2 0.000 0.000 0.396 1
Mg1 0.500 0.500 0.082 1
Mg2 0.500 0.500 0.294 1
Mg3 0.500 0.500 0.500 1
```

***

[15]
DFT (PBE) results for a relaxed structure of TaCrSe2Br.

Output
**Relative energy among the computed polymorphs**: 0 meV/atom
**E**: -5.85 eV/atom
**Formation energy without anion corrections**: 0.177 eV per atom

The structure in CIF format:
```
data_TaCrSe2Br
_symmetry_space_group_name_H-M 'P 4/m m m'
_symmetry_Int_Tables_number 123
_symmetry_space_group_name_Hall '-P 4 2'
_cell_length_a 5.048
_cell_length_b 5.048
_cell_length_c 5.143
_cell_angle_alpha 90.00
_cell_angle_beta 90.00
_cell_angle_gamma 90.00
loop_
_atom_site_label
_atom_site_fract_x
_atom_site_fract_y
_atom_site_fract_z
_atom_site_occupancy
Ta1 0.000 0.000 0.000 1
Cr1 0.500 0.500 0.500 1
Se1 0.000 0.500 0.000 1
Br1 0.000 0.000 0.500 1
```

***

[16]
DFT (PBE) results for a relaxed structure of NaMn2Sn3Se6.

Output
**E**: -4.88 eV/atom
**Formation energy without anion corrections**: -0.500 eV per atom

The structure in CIF format:
```
data_NaMn2Sn3Se6
_symmetry_space_group_name_H-M 'C 1 2/m 1'
_symmetry_Int_Tables_number 12
_cell_length_a 17.700
_cell_length_b 4.071
_cell_length_c 8.244
_cell_angle_alpha 90.00
_cell_angle_beta 102.50
_cell_angle_gamma 90.00
loop_
_symmetry_equiv_pos_as_xyz
'x,y,z'
'-x,-y,-z'
'-x,y,-z'
'x,-y,z'
'x+1/2,y+1/2,z'
'-x+1/2,-y+1/2,-z'
'-x+1/2,y+1/2,-z'
'x+1/2,-y+1/2,z'
loop_
_atom_site_label
_atom_site_fract_x
_atom_site_fract_y
_atom_site_fract_z
_atom_site_occupancy
Na1 0.000 0.000 0.000 1
Mn1 0.168 0.500 0.335 1
Sn1 0.000 0.000 0.500 1
Sn2 0.165 0.500 0.834 1
Se1 0.020 0.500 0.261 1
Se2 0.173 0.000 0.116 1
Se3 0.175 0.000 0.571 1
```

***

[17]
DFT (PBE) results for a relaxed structure of Tm2MgSi.

Output
**E**: -4.29 eV/atom
**Formation energy without anion corrections**: -0.303 eV per atom

The structure in CIF format:
```
data_Tm2MgSi
_symmetry_space_group_name_H-M 'P 4/m m m'
_symmetry_Int_Tables_number 123
_symmetry_space_group_name_Hall '-P 4 2'
_cell_length_a 4.693
_cell_length_b 4.693
_cell_length_c 4.073
_cell_angle_alpha 90.00
_cell_angle_beta 90.00
_cell_angle_gamma 90.00
loop_
_atom_site_label
_atom_site_fract_x
_atom_site_fract_y
_atom_site_fract_z
_atom_site_occupancy
Tm1 0.000 0.500 0.000 1
Mg1 0.000 0.000 0.500 1
Si1 0.500 0.500 0.500 1
```

***

[18]
DFT (PBE) results for a relaxed structure of Rb3AcNd2Te6.

Output
**E**: -4.38 eV/atom
**Formation energy without anion corrections**: -1.434 eV per atom

The structure in CIF format:
```
data_Rb3AcNd2Te6
_symmetry_space_group_name_H-M 'C 1 2/m 1'
_symmetry_Int_Tables_number 12
_cell_length_a 8.190
_cell_length_b 14.187
_cell_length_c 9.008
_cell_angle_alpha 90.00
_cell_angle_beta 107.67
_cell_angle_gamma 90.00
loop_
_symmetry_equiv_pos_as_xyz
'x,y,z'
'-x,-y,-z'
'-x,y,-z'
'x,-y,z'
'x+1/2,y+1/2,z'
'-x+1/2,-y+1/2,-z'
'-x+1/2,y+1/2,-z'
'x+1/2,-y+1/2,z'
loop_
_atom_site_label
_atom_site_fract_x
_atom_site_fract_y
_atom_site_fract_z
_atom_site_occupancy
Rb1 0.000 0.000 0.000 1
Rb2 0.000 0.335 0.000 1
Ac1 0.000 0.500 0.500 1
Nd1 0.000 0.167 0.500 1
Te1 0.225 0.000 0.707 1
Te2 0.241 0.328 0.707 1
```

***

| no. | total magnetic moment (μB/f.u.) | N(E_F) (states/eV per cell) |
| --- | --- | --- |
| 1 | 4.8 | 40.763 |
| 2 | 0.0 | 16.258 |
| 3 | 0.0 | 1.589 |
| 4 | 0.0 | 2.030 |
| 5 | 3.1 | 5.317 |
| 6 | 0.0 | 89.943 |
| 7 | 0.0 | 5.397 |
| 8 | 0.0 | 7.829 |
| 9 | 0.0 | 3.711 |
| 10 | 0.0 | 35.692 |
| 11 | 24.7 | 202.397 |
| 12 | 0.0 | 41.503 |
| 13 | 0.5 | 11.181 |
| 14 | 0.0 | 9.820 |
| 15 | 5.1 | 3.225 |
| 16 | 9.1 | 4.875 |
| 17 | 0.0 | 2.373 |
| 18 | 0.0 | 0.000 |